Entry 1:
Material: TeSBrCl2
Method: DFT, SCAN
State: single point on PBEsol structure

Lattice parameters (Å, degrees): 5.0015 5.0015 5.0207 90.00 90.00 90.00
Last column: nearest neighbours and their distance in Å.
Space group P4/mmm (No. 123)
One atom of each set of equivalent atoms:
Te 0.0000 0.0000 0.0000  4 S 3.54, 8 Cl 3.54
S 0.5000 0.5000 0.0000  2 Br 2.51
Br 0.5000 0.5000 0.5000  4 Cl 2.50, 2 S 2.51
Cl 0.0000 0.5000 0.5000  2 Br 2.50

Calculated values
Final energy: -15.7318 eV/atom
Fermi-level density of states: 0.75 states/eV/atom

Entry 2:
Material: WSBrCl2
Method: DFT, SCAN
State: single point on PBEsol structure

Lattice parameters (Å, degrees): 4.9587 4.9587 4.9578 90.00 90.00 90.00
Last column: nearest neighbours and their distance in Å.
Space group P4/mmm (No. 123)
One atom of each set of equivalent atoms:
W 0.0000 0.0000 0.0000  8 Cl 3.51, 4 S 3.51
S 0.5000 0.5000 0.0000  2 Br 2.48
Br 0.5000 0.5000 0.5000  2 S 2.48, 4 Cl 2.48
Cl 0.0000 0.5000 0.5000  2 Br 2.48

Calculated values
Final energy: -21.2625 eV/atom
Fermi-level density of states: 1.07 states/eV/atom

Entry 3:
Material: YSBrCl2
Method: DFT, SCAN
State: single point on PBEsol structure

Lattice parameters (Å, degrees): 5.0291 5.0291 5.5828 90.00 90.00 90.00
Last column: nearest neighbours and their distance in Å.
Space group P4/mmm (No. 123)
One atom of each set of equivalent atoms:
Y 0.0000 0.0000 0.0000  4 Cl 2.51, 2 S 2.79
S 0.0000 0.0000 0.5000  2 Y 2.79
Br 0.5000 0.5000 0.5000  4 S 3.56, 8 Cl 3.76
Cl 0.0000 0.5000 0.0000  2 Y 2.51

Calculated values
Final energy: -15.8434 eV/atom
Fermi-level density of states: 0.53 states/eV/atom

Entry 4:
Material: Sb2BrCl
Method: DFT, SCAN
State: single point on PBEsol structure

Lattice parameters (Å, degrees): 3.4445 5.8238 9.6562 90.00 90.00 90.00
Last column: nearest neighbours and their distance in Å.
Space group Cmmm (No. 65)
One atom of each set of equivalent atoms:
Sb 0.0000 0.0000 0.2446  2 Cl 2.92, 2 Br 3.01
Br 0.0000 0.5000 0.5000  4 Sb 3.01
Cl 0.0000 0.5000 0.0000  4 Sb 2.92

Calculated values
Final energy: -25.5316 eV/atom
Fermi-level density of states: 0.38 states/eV/atom
Offset from the most stable computed form: 3 meV/atom

Entry 5:
Material: Sb2Br2Cl
Method: DFT, SCAN
State: single point on PBEsol structure

Lattice parameters (Å, degrees): 7.4401 7.4401 4.6730 90.00 90.00 90.00
Last column: nearest neighbours and their distance in Å.
Space group P4/mbm (No. 127)
One atom of each set of equivalent atoms:
Sb 0.1383 0.3617 0.0000  2 Cl 2.88, 1 Sb 2.91, 2 Br 3.07
Br 0.1722 0.6722 0.5000  6 Sb 3.07-3.30
Cl 0.0000 0.0000 0.0000  4 Sb 2.88

Calculated values
Final energy: -24.4261 eV/atom
Fermi-level density of states: 0.48 states/eV/atom

Entry 6:
Material: Sb2BrCl
Method: DFT, SCAN
State: single point on PBEsol structure

Lattice parameters (Å, degrees): 6.7261 9.7430 3.4459 90.00 120.44 90.00
Last column: nearest neighbours and their distance in Å.
Space group C2/m (No. 12)
One atom of each set of equivalent atoms:
Sb 0.2500 0.2500 0.0000  2 Cl 2.97, 2 Br 2.97
Br 0.0000 0.0000 0.5000  4 Sb 2.97
Cl 0.0000 0.5000 0.5000  4 Sb 2.97

Calculated values
Final energy: -25.5347 eV/atom
Fermi-level density of states: 0.44 states/eV/atom
Offset from the most stable computed form: 0 meV/atom

Entry 7:
Material: ScBr2Cl
Method: DFT, SCAN
State: single point on PBEsol structure

Lattice parameters (Å, degrees): 12.1904 3.4136 6.6226 90.00 120.99 90.00
Last column: nearest neighbours and their distance in Å.
Space group Cm (No. 8)
One atom of each set of equivalent atoms:
Sc 0.0000 0.0000 0.0000  2 Cl 2.50, 4 Br 2.64-2.65
Br 0.3323 0.0000 0.6884  2 Sc 2.65
Br 0.4953 0.0000 0.3004  2 Sc 2.64
Cl 0.1525 0.5000 0.0083  2 Sc 2.50

Calculated values
Final energy: -17.2423 eV/atom
Fermi-level density of states: 0.00 states/eV/atom
Offset from the most stable computed form: 49 meV/atom

Entry 8:
Material: ScBrCl2
Method: DFT, SCAN
State: single point on PBEsol structure

Lattice parameters (Å, degrees): 6.7721 6.7721 6.7721 90.00 90.00 90.00
Last column: nearest neighbours and their distance in Å.
Space group F-43m (No. 216)
One atom of each set of equivalent atoms:
Sc 0.0000 0.0000 0.0000  4 Cl 2.93, 4 Br 2.93
Br 0.2500 0.2500 0.7500  4 Cl 2.93, 4 Sc 2.93
Cl 0.0000 0.0000 0.5000  4 Br 2.93, 4 Cl 2.93
Cl 0.2500 0.2500 0.2500  4 Cl 2.93, 4 Sc 2.93

Calculated values
Final energy: -13.6915 eV/atom
Offset from the most stable computed form: 832 meV/atom

Entry 9:
Material: ScBr2Cl
Method: DFT, SCAN
State: single point on PBEsol structure

Lattice parameters (Å, degrees): 4.2823 4.2823 20.0631 90.00 90.00 120.00
Last column: nearest neighbours and their distance in Å.
Space group R3m (No. 160, hexagonal axes)
One atom of each set of equivalent atoms:
Sc 0.0000 0.0000 0.0000  3 Cl 2.47
Br 0.0000 0.0000 0.2428  3 Cl 3.07, 3 Sc 3.07
Br 0.0000 0.0000 0.4239  3 Sc 3.07, 3 Cl 3.07
Cl 0.0000 0.0000 0.6665  3 Sc 2.47

Calculated values
Final energy: -16.8605 eV/atom
Fermi-level density of states: 0.00 states/eV/atom
Offset from the most stable computed form: 431 meV/atom

Entry 10:
Material: Sc3BrCl
Method: DFT, SCAN
State: single point on PBEsol structure

Lattice parameters (Å, degrees): 4.9825 4.9825 4.9825 90.00 90.00 90.00
Last column: nearest neighbours and their distance in Å.
Space group Pm-3m (No. 221)
One atom of each set of equivalent atoms:
Sc 0.0000 0.0000 0.5000  2 Br 2.49
Br 0.0000 0.0000 0.0000  6 Sc 2.49
Cl 0.5000 0.5000 0.5000  12 Sc 3.52

Calculated values
Final energy: -13.8907 eV/atom
Fermi-level density of states: 1.09 states/eV/atom

Entry 11:
Material: Sc2BrCl2
Method: DFT, SCAN
State: single point on PBEsol structure

Lattice parameters (Å, degrees): 4.4137 4.4137 11.3973 90.00 90.00 90.00
Last column: nearest neighbours and their distance in Å.
Space group I4/mmm (No. 139)
One atom of each set of equivalent atoms:
Sc 0.0000 0.0000 0.1262  4 Cl 2.62, 1 Sc 2.88
Br 0.0000 0.0000 0.5000  8 Sc 3.44, 8 Cl 3.60
Cl 0.0000 0.5000 0.2500  4 Sc 2.62

Calculated values
Final energy: -14.0851 eV/atom
Fermi-level density of states: 0.75 states/eV/atom

Entry 12:
Material: ScBr2Cl
Method: DFT, SCAN
State: single point on PBEsol structure

Lattice parameters (Å, degrees): 3.4235 5.3104 11.8041 90.00 90.00 90.00
Last column: nearest neighbours and their distance in Å.
Space group Imm2 (No. 44)
One atom of each set of equivalent atoms:
Sc 0.0000 0.0000 0.0000  2 Cl 2.49, 2 Br 2.63
Br 0.0000 0.0000 0.4976  4 Sc 3.16, 2 Cl 3.19, 4 Br 3.34-3.42
Br 0.0000 0.5000 0.6695  2 Sc 2.63
Cl 0.0000 0.5000 0.3473  2 Sc 2.49

Calculated values
Final energy: -16.9610 eV/atom
Offset from the most stable computed form: 330 meV/atom

Entry 13:
Material: ScBrCl2
Method: DFT, SCAN
State: single point on PBEsol structure

Lattice parameters (Å, degrees): 11.9407 3.3607 6.4303 90.00 121.01 90.00
Last column: nearest neighbours and their distance in Å.
Space group Cm (No. 8)
One atom of each set of equivalent atoms:
Sc 0.0000 0.0000 0.0000  4 Cl 2.49-2.50, 2 Br 2.64
Br 0.1709 0.5000 0.3270  2 Sc 2.64
Cl 0.0057 0.5000 0.7191  2 Sc 2.49
Cl 0.3437 0.0000 0.9946  2 Sc 2.50

Calculated values
Final energy: -14.5237 eV/atom
Fermi-level density of states: 0.00 states/eV/atom
Offset from the most stable computed form: 0 meV/atom

Entry 14:
Material: ScBr2Cl
Method: DFT, SCAN
State: single point on PBEsol structure

Lattice parameters (Å, degrees): 4.9339 13.5713 3.7616 90.00 90.00 90.00
Last column: nearest neighbours and their distance in Å.
Space group Cmmm (No. 65)
One atom of each set of equivalent atoms:
Sc 0.0000 0.0000 0.0000  2 Cl 2.47, 4 Br 2.63
Br 0.0000 0.1357 0.5000  2 Sc 2.63
Cl 0.0000 0.5000 0.0000  2 Sc 2.47

Calculated values
Final energy: -17.2912 eV/atom
Fermi-level density of states: 0.00 states/eV/atom
Offset from the most stable computed form: 0 meV/atom

Entry 15:
Material: ScSeBr2Cl
Method: DFT, SCAN
State: single point on PBEsol structure

Lattice parameters (Å, degrees): 5.0393 5.0393 5.3909 90.00 90.00 90.00
Last column: nearest neighbours and their distance in Å.
Space group P4/mmm (No. 123)
One atom of each set of equivalent atoms:
Sc 0.0000 0.0000 0.0000  4 Br 2.52, 2 Se 2.70
Se 0.0000 0.0000 0.5000  2 Sc 2.70
Br 0.0000 0.5000 0.0000  2 Sc 2.52
Cl 0.5000 0.5000 0.5000  4 Se 3.56, 8 Br 3.69

Calculated values
Final energy: -17.1237 eV/atom
Fermi-level density of states: 0.50 states/eV/atom

Entry 16:
Material: SeBr2Cl
Method: DFT, SCAN
State: single point on PBEsol structure

Lattice parameters (Å, degrees): 3.1494 3.1494 9.3354 90.00 90.00 90.00
Last column: nearest neighbours and their distance in Å.
Space group P4mm (No. 99)
One atom of each set of equivalent atoms:
Se 0.0000 0.0000 0.0000  4 Cl 2.82, 4 Br 2.86, 4 Se 3.15
Br 0.0000 0.0000 0.4956  4 Br 3.15
Br 0.5000 0.5000 0.1929  4 Se 2.86, 4 Br 3.15
Cl 0.5000 0.5000 0.8142  4 Se 2.82, 4 Cl 3.15

Calculated values
Final energy: -16.1530 eV/atom
Fermi-level density of states: 0.64 states/eV/atom
Offset from the most stable computed form: 266 meV/atom

Entry 17:
Material: SeBrCl
Method: DFT, SCAN
State: single point on PBEsol structure

Lattice parameters (Å, degrees): 3.5510 7.2200 13.3581 90.00 90.00 90.00
Last column: nearest neighbours and their distance in Å.
Space group Fmm2 (No. 42)
One atom of each set of equivalent atoms:
Se 0.0000 0.0000 0.0000  2 Cl 2.47, 2 Br 2.56
Br 0.0000 0.0000 0.6385  2 Se 2.56
Cl 0.0000 0.0000 0.3716  2 Se 2.47

Calculated values
Final energy: -15.9427 eV/atom
Fermi-level density of states: 0.00 states/eV/atom
Offset from the most stable computed form: 0 meV/atom

Entry 18:
Material: SeBr2Cl
Method: DFT, SCAN
State: single point on PBEsol structure

Lattice parameters (Å, degrees): 4.1165 4.1165 20.2741 90.00 90.00 120.00
Last column: nearest neighbours and their distance in Å.
Space group R-3m (No. 166, hexagonal axes)
One atom of each set of equivalent atoms:
Se 0.0000 0.0000 0.0000  6 Br 2.77
Br 0.0000 0.0000 0.2636  3 Se 2.77, 3 Cl 3.08
Cl 0.0000 0.0000 0.5000  6 Br 3.08

Calculated values
Final energy: -16.4189 eV/atom
Fermi-level density of states: 0.56 states/eV/atom
Offset from the most stable computed form: 0 meV/atom

Entry 19:
Material: SeBrCl2
Method: DFT, SCAN
State: single point on PBEsol structure

Lattice parameters (Å, degrees): 6.8742 6.8742 6.8742 90.00 90.00 90.00
Last column: nearest neighbours and their distance in Å.
Space group Fm-3m (No. 225)
One atom of each set of equivalent atoms:
Se 0.0000 0.0000 0.0000  8 Cl 2.98
Br 0.0000 0.0000 0.5000  8 Cl 2.98
Cl 0.2500 0.2500 0.2500  4 Se 2.98, 4 Br 2.98

Calculated values
Final energy: -13.1433 eV/atom
Fermi-level density of states: 0.66 states/eV/atom

Entry 20:
Material: SeBr2Cl
Method: DFT, SCAN
State: single point on PBEsol structure

Lattice parameters (Å, degrees): 3.8362 3.8362 7.1412 90.00 90.00 90.00
Last column: nearest neighbours and their distance in Å.
Space group P4/mmm (No. 123)
One atom of each set of equivalent atoms:
Se 0.0000 0.0000 0.0000  4 Cl 2.71
Br 0.0000 0.5000 0.5000  4 Br 2.71
Cl 0.5000 0.5000 0.0000  4 Se 2.71

Calculated values
Final energy: -16.3474 eV/atom
Fermi-level density of states: 0.67 states/eV/atom
Offset from the most stable computed form: 72 meV/atom